The following is a DFT calculation (GGA-PBE) of Tl4Hg3 after structural relaxation.

Summary:
Density of states at the Fermi level = 10.99 states/eV per cell
Energy above the lowest structure with this stoichiometry = 2 meV per atom
Total DFT energy (no corrections) = -41.4 eV per cell
Formation enthalpy at 0 K = 0.0 eV/f.u.

Cell and atoms, written as CIF:
```
data_Tl4Hg3
_symmetry_space_group_name_H-M 'I -4 3 d'
_symmetry_Int_Tables_number 220
_symmetry_space_group_name_Hall 'I -4bd 2c 3'
_cell_length_a 9.4784
_cell_length_b 9.4784
_cell_length_c 9.4784
_cell_angle_alpha 90.00
_cell_angle_beta 90.00
_cell_angle_gamma 90.00
loop_
_atom_site_label
_atom_site_fract_x
_atom_site_fract_y
_atom_site_fract_z
_atom_site_occupancy
Tl1 0.0756 0.4244 0.5756 1
Hg1 0.0000 0.2500 0.8750 1
```

The following is a DFT calculation (GGA-PBE) of Ba3UIn2O9 after structural relaxation.

Summary:
Formation energy from raw total energies = -245.8 kJ/mol of atoms
Energy above the lowest structure with this stoichiometry = 6 meV per atom
Total DFT energy (no corrections) = -105.4 eV per cell

Cell and atoms, written as CIF:
```
data_Ba3UIn2O9
_symmetry_space_group_name_H-M 'P -3 m 1'
_symmetry_Int_Tables_number 164
_symmetry_space_group_name_Hall '-P 3 2"'
_cell_length_a 6.0833
_cell_length_b 6.0833
_cell_length_c 7.5028
_cell_angle_alpha 90.00
_cell_angle_beta 90.00
_cell_angle_gamma 120.00
loop_
_atom_site_label
_atom_site_fract_x
_atom_site_fract_y
_atom_site_fract_z
_atom_site_occupancy
Ba1 0.0000 0.0000 0.0000 1
Ba2 0.3333 0.6667 0.6998 1
U1 0.0000 0.0000 0.5000 1
In1 0.3333 0.6667 0.1623 1
O1 0.0000 0.5000 0.0000 1
O2 0.1617 0.3234 0.3384 1
```

The following is a DFT calculation (GGA-PBE) of Sm2ThBe after structural relaxation.

Summary:
Density of states at the Fermi level = 13.84 states/eV per cell
Energy above the lowest structure with this stoichiometry = 572 meV per atom
Total DFT energy (no corrections) = -53.4 eV per cell
Formation enthalpy at 0 K = 2.8 eV/f.u.

Cell and atoms, written as CIF:
```
data_Sm2ThBe
_symmetry_space_group_name_H-M 'R -3 m'
_symmetry_Int_Tables_number 166
_symmetry_space_group_name_Hall '-R 3 2"'
_cell_length_a 3.5237
_cell_length_b 3.5237
_cell_length_c 34.2615
_cell_angle_alpha 90.00
_cell_angle_beta 90.00
_cell_angle_gamma 120.00
loop_
_atom_site_label
_atom_site_fract_x
_atom_site_fract_y
_atom_site_fract_z
_atom_site_occupancy
Sm1 0.0000 0.0000 0.0846 1
Th1 0.0000 0.0000 0.5000 1
Be1 0.0000 0.0000 0.0000 1
```

The following is a DFT calculation (GGA-PBE) of NdTm2FeN4 after structural relaxation.

Summary:
Density of states at the Fermi level = 13.85 states/eV per cell
Formation energy from raw total energies = -114.4 kJ/mol of atoms
Total DFT energy (no corrections) = -259.9 eV per cell

Cell and atoms, written as CIF:
```
data_NdTm2FeN4
_symmetry_space_group_name_H-M 'C m c m'
_symmetry_Int_Tables_number 63
_symmetry_space_group_name_Hall '-C 2c 2'
_cell_length_a 3.3695
_cell_length_b 11.3214
_cell_length_c 11.3640
_cell_angle_alpha 90.00
_cell_angle_beta 90.00
_cell_angle_gamma 90.00
loop_
_atom_site_label
_atom_site_fract_x
_atom_site_fract_y
_atom_site_fract_z
_atom_site_occupancy
Nd1 0.0000 0.1085 0.2500 1
Tm1 0.0000 0.3684 0.0453 1
Fe1 0.0000 0.1585 0.7500 1
N1 0.0000 0.0000 0.0000 1
N2 0.0000 0.2661 0.6271 1
N3 0.0000 0.4185 0.2500 1
```

The following is a DFT calculation (GGA-PBE) of Li2PdPb8 after structural relaxation.

Summary:
Density of states at the Fermi level = 9.68 states/eV per cell
Total DFT energy (no corrections) = -79.8 eV per cell
Formation enthalpy at 0 K = -1.2 eV/f.u.

Cell and atoms, written as CIF:
```
data_Li2PdPb8
_symmetry_space_group_name_H-M 'C 1 2/m 1'
_symmetry_Int_Tables_number 12
_symmetry_space_group_name_Hall '-C 2y'
_cell_length_a 19.7061
_cell_length_b 4.7141
_cell_length_c 6.7690
_cell_angle_alpha 90.00
_cell_angle_beta 107.61
_cell_angle_gamma 90.00
loop_
_atom_site_label
_atom_site_fract_x
_atom_site_fract_y
_atom_site_fract_z
_atom_site_occupancy
Li1 0.1902 0.0000 0.2604 1
Pd1 0.0000 0.5000 0.5000 1
Pb1 0.0255 0.0000 0.2659 1
Pb2 0.1044 0.5000 0.9284 1
Pb3 0.1441 0.5000 0.4704 1
Pb4 0.2111 0.0000 0.8140 1
```

The following is a DFT calculation (GGA-PBE) of NaGaBr2 after structural relaxation.

Summary:
Density of states at the Fermi level = 0.00 states/eV per cell
Formation energy from raw total energies = -93.7 kJ/mol of atoms
Energy above the lowest structure with this stoichiometry = 93 meV per atom
Total DFT energy (no corrections) = -46.3 eV per cell

Cell and atoms, written as CIF:
```
data_NaGaBr2
_symmetry_space_group_name_H-M 'I -4 2 d'
_symmetry_Int_Tables_number 122
_symmetry_space_group_name_Hall 'I -4 2bw'
_cell_length_a 6.8618
_cell_length_b 6.8618
_cell_length_c 13.5256
_cell_angle_alpha 90.00
_cell_angle_beta 90.00
_cell_angle_gamma 90.00
loop_
_atom_site_label
_atom_site_fract_x
_atom_site_fract_y
_atom_site_fract_z
_atom_site_occupancy
Na1 0.0000 0.0000 0.0000 1
Ga1 0.0000 0.0000 0.5000 1
Br1 0.2291 0.2500 0.1250 1
```

The following is a DFT calculation (GGA-PBE) of Li2Ti2O5 after structural relaxation.

Summary:
Density of states at the Fermi level = 0.00 states/eV per cell
Formation energy from raw total energies = -263.5 kJ/mol of atoms
Energy above the lowest structure with this stoichiometry = 8 meV per atom
Total DFT energy (no corrections) = -276.0 eV per cell

Cell and atoms, written as CIF:
```
data_Li2Ti2O5
_symmetry_space_group_name_H-M 'P b c n'
_symmetry_Int_Tables_number 60
_symmetry_space_group_name_Hall '-P 2n 2ab'
_cell_length_a 5.8808
_cell_length_b 5.3972
_cell_length_c 15.8539
_cell_angle_alpha 90.00
_cell_angle_beta 90.00
_cell_angle_gamma 90.00
loop_
_atom_site_label
_atom_site_fract_x
_atom_site_fract_y
_atom_site_fract_z
_atom_site_occupancy
Li1 0.0944 0.1820 0.0488 1
Ti1 0.0911 0.3053 0.8578 1
O1 0.0000 0.2324 0.7500 1
O2 0.0923 0.1874 0.5639 1
O3 0.1312 0.3543 0.3750 1
```

The following is a DFT calculation (GGA-PBE) of CrTc2Ru after structural relaxation.

Summary:
Density of states at the Fermi level = 13.57 states/eV per cell
Energy above the lowest structure with this stoichiometry = 25 meV per atom
Total DFT energy (no corrections) = -117.3 eV per cell
Formation enthalpy at 0 K = 0.5 eV/f.u.

Cell and atoms, written as CIF:
```
data_CrTc2Ru
_symmetry_space_group_name_H-M 'R 3 m'
_symmetry_Int_Tables_number 160
_symmetry_space_group_name_Hall 'R 3 -2"'
_cell_length_a 2.6984
_cell_length_b 2.6984
_cell_length_c 26.3812
_cell_angle_alpha 90.00
_cell_angle_beta 90.00
_cell_angle_gamma 120.00
loop_
_atom_site_label
_atom_site_fract_x
_atom_site_fract_y
_atom_site_fract_z
_atom_site_occupancy
Cr1 0.0000 0.0000 0.0000 1
Tc1 0.0000 0.0000 0.2501 1
Tc2 0.0000 0.0000 0.4998 1
Ru1 0.0000 0.0000 0.7442 1
```

What did the eighth record say?
The following is a DFT calculation (GGA-PBE) of CrTc2Ru after structural relaxation.

Summary:
Density of states at the Fermi level = 13.57 states/eV per cell
Energy above the lowest structure with this stoichiometry = 25 meV per atom
Total DFT energy (no corrections) = -117.3 eV per cell
Formation enthalpy at 0 K = 0.5 eV/f.u.

Cell and atoms, written as CIF:
```
data_CrTc2Ru
_symmetry_space_group_name_H-M 'R 3 m'
_symmetry_Int_Tables_number 160
_symmetry_space_group_name_Hall 'R 3 -2"'
_cell_length_a 2.6984
_cell_length_b 2.6984
_cell_length_c 26.3812
_cell_angle_alpha 90.00
_cell_angle_beta 90.00
_cell_angle_gamma 120.00
loop_
_atom_site_label
_atom_site_fract_x
_atom_site_fract_y
_atom_site_fract_z
_atom_site_occupancy
Cr1 0.0000 0.0000 0.0000 1
Tc1 0.0000 0.0000 0.2501 1
Tc2 0.0000 0.0000 0.4998 1
Ru1 0.0000 0.0000 0.7442 1
```